# 1
# LaNdCd6 | OQMD via LeMat-Bulk | PBE | relaxed
data_LaNdCd6
_chemical_formula_sum 'La1 Nd1 Cd6'
_cell_length_a 5.164
_cell_length_b 5.164
_cell_length_c 7.284
_cell_angle_alpha 90.00
_cell_angle_beta 90.00
_cell_angle_gamma 90.00
_symmetry_space_group_name_H-M 'P 1'
_symmetry_Int_Tables_number 1
_symmetry_space_group_name_Hall 'P 1'
loop_
_atom_site_label
_atom_site_fract_x
_atom_site_fract_y
_atom_site_fract_z
_atom_site_occupancy
La1 0.000 0.000 0.000 1
Nd1 0.500 0.500 0.500 1
Cd1 0.000 0.000 0.500 1
Cd2 0.000 0.500 0.253 1
Cd3 0.000 0.500 0.747 1
Cd4 0.500 0.000 0.253 1
Cd5 0.500 0.000 0.747 1
Cd6 0.500 0.500 0.000 1
# Energy above the lowest structure with this stoichiometry (meV per atom): 5
# Formation energy from the elements (eV/atom): -0.326
# Magnetic moment (μB per atom): 0.0004
# Space-group type: P4/mmm, No. 123

---

# 2
# ErLuReSi2 | OQMD via LeMat-Bulk | PBE | relaxed
data_ErLuReSi2
_chemical_formula_sum 'Er2 Lu2 Re2 Si4'
_cell_length_a 5.740
_cell_length_b 5.740
_cell_length_c 9.895
_cell_angle_alpha 116.10
_cell_angle_beta 116.10
_cell_angle_gamma 42.28
_symmetry_space_group_name_H-M 'P 1'
_symmetry_Int_Tables_number 1
_symmetry_space_group_name_Hall 'P 1'
loop_
_atom_site_label
_atom_site_fract_x
_atom_site_fract_y
_atom_site_fract_z
_atom_site_occupancy
Er1 0.187 0.187 0.112 1
Er2 0.813 0.813 0.888 1
Lu1 0.008 0.008 0.678 1
Lu2 0.992 0.992 0.322 1
Re1 0.272 0.272 0.630 1
Re2 0.728 0.728 0.370 1
Si1 0.364 0.364 0.443 1
Si2 0.497 0.497 0.123 1
Si3 0.503 0.503 0.877 1
Si4 0.636 0.636 0.557 1
# Energy above the lowest structure with this stoichiometry (meV per atom): 0
# Magnetic moment (μB per atom): 0.0001
# Space-group type: C2/m, No. 12

---

# 3
# HfNb2Si | OQMD via LeMat-Bulk | PBE | relaxed
data_HfNb2Si
_chemical_formula_sum 'Hf4 Nb8 Si4'
_cell_length_a 6.551
_cell_length_b 6.551
_cell_length_c 6.551
_cell_angle_alpha 90.00
_cell_angle_beta 90.00
_cell_angle_gamma 90.00
_symmetry_space_group_name_H-M 'P 1'
_symmetry_Int_Tables_number 1
_symmetry_space_group_name_Hall 'P 1'
loop_
_atom_site_label
_atom_site_fract_x
_atom_site_fract_y
_atom_site_fract_z
_atom_site_occupancy
Hf1 0.000 0.000 0.000 1
Hf2 0.000 0.500 0.500 1
Hf3 0.500 0.000 0.500 1
Hf4 0.500 0.500 0.000 1
Nb1 0.000 0.000 0.500 1
Nb2 0.000 0.500 0.000 1
Nb3 0.250 0.250 0.250 1
Nb4 0.250 0.750 0.750 1
Nb5 0.500 0.000 0.000 1
Nb6 0.500 0.500 0.500 1
Nb7 0.750 0.250 0.750 1
Nb8 0.750 0.750 0.250 1
Si1 0.250 0.250 0.750 1
Si2 0.250 0.750 0.250 1
Si3 0.750 0.250 0.250 1
Si4 0.750 0.750 0.750 1
# Uncorrected energy (eV/cell): -145.44
# Magnetic moment (μB per atom): 0.0001
# Space-group type: F-43m, No. 216